! DyTlIn2O6 (PBE-GGA, relaxed); values from VASP
&SYSTEM
  ibrav = 0, nat = 10, ntyp = 4
/
ATOMIC_SPECIES
Dy 162.50 Dy.upf
Tl 204.38 Tl.upf
In 114.82 In.upf
O 16.00 O.upf
ATOMIC_POSITIONS angstrom
Dy 0.0000 0.0000 0.0000
Tl 0.0000 0.0000 7.4904
In 0.0000 0.0000 4.2529
In 0.0000 0.0000 11.6966
O -1.6932 -0.0907 5.7682
O -1.1882 -1.7404 8.2812
O 0.9251 -1.4210 5.7682
O -0.9131 1.8992 8.2812
O 0.7681 1.5117 5.7682
O 2.1013 -0.1588 8.2812
CELL_PARAMETERS angstrom
2.8522 1.6467 4.9882
-2.8522 1.6467 4.9882
0.0000 -3.2934 4.9882
! Total magnetization: 0.0 μB/f.u.
! Total energy: -6.028 eV/atom
! Raw formation energy: -1.808 eV per atom
! Space-group type: No. 146